The following is a DFT calculation (PBE-GGA) of an optimized crystal structure of ZrZnI6.

a b c (Å): 7.2578 13.9549 7.2832
angles (deg): 90.00 111.95 90.00
Space group C2/m (No. 12)
Inequivalent atoms, fractional coordinates:
Zr 0.0000 0.0000 0.0000 [2 per cell]
Zn 0.0000 0.5000 0.5000 [2 per cell]
I 0.2328 0.0000 0.7651 [4 per cell]
I 0.2385 0.3559 0.7408 [8 per cell]

Magnetization (μB/cell): 0.0
Raw formation energy (eV/atom): -0.662

---

The following is a DFT calculation (PBE-GGA) of an optimized crystal structure of Zr2ZnI2.

a b c (Å): 8.0174 8.0174 3.7456
angles (deg): 90.00 90.00 90.00
Space group P4/mbm (No. 127)
Inequivalent atoms, fractional coordinates:
Zr 0.1517 0.3483 0.0000 [4 per cell]
Zn 0.0000 0.0000 0.0000 [2 per cell]
I 0.1459 0.6459 0.5000 [4 per cell]

Energy above the most stable polymorph in this dataset (eV per atom): 0.000
Magnetization (μB/cell): 0.0
Density of states at the Fermi level (states/eV/f.u.): 3.3
Raw formation energy (eV/atom): 0.096

---

The following is a DFT calculation (PBE-GGA) of an optimized crystal structure of ZrZnI3.

a b c (Å): 5.7748 5.7748 5.7748
angles (deg): 90.00 90.00 90.00
Space group Pm-3m (No. 221)
Inequivalent atoms, fractional coordinates:
Zr 0.0000 0.0000 0.0000 [1 per cell]
Zn 0.5000 0.5000 0.5000 [1 per cell]
I 0.0000 0.0000 0.5000 [3 per cell]

Energy above the most stable polymorph in this dataset (eV per atom): 0.000
Magnetization (μB/cell): 0.0
Density of states at the Fermi level (states/eV/f.u.): 2.3
Raw formation energy (eV/atom): -0.337

---

The following is a DFT calculation (PBE-GGA) of an optimized crystal structure of ZrI4.

a b c (Å): 6.8273 6.8273 12.9733
angles (deg): 90.00 90.00 90.00
Space group P-42_1c (No. 114)
Inequivalent atoms, fractional coordinates:
Zr 0.0000 0.0000 0.0000 [2 per cell]
I 0.2231 0.2330 0.8795 [8 per cell]

Magnetization (μB/cell): 0.0
Density of states at the Fermi level (states/eV/f.u.): 0.0
Raw formation energy (eV/atom): -0.865

---

The following is a DFT calculation (PBE-GGA) of an optimized crystal structure of ZrI4.

a b c (Å): 7.8274 9.0893 7.2357
angles (deg): 90.00 108.60 90.00
Space group P2/c (No. 13)
Inequivalent atoms, fractional coordinates:
Zr 0.0000 0.1503 0.2500 [2 per cell]
I 0.2165 0.1028 0.9962 [4 per cell]
I 0.2443 0.3457 0.4736 [4 per cell]

Magnetization (μB/cell): 0.0
Density of states at the Fermi level (states/eV/f.u.): 0.0
Raw formation energy (eV/atom): -0.903

---

The following is a DFT calculation (PBE-GGA) of an optimized crystal structure of ZrI4.

a b c (Å): 9.0772 8.9847 18.4319
angles (deg): 90.00 103.29 90.00
Space group P2/c (No. 13)
Inequivalent atoms, fractional coordinates:
Zr 0.0000 0.1222 0.2500 [2 per cell]
Zr 0.1863 0.3815 0.0827 [4 per cell]
I 0.0617 0.3824 0.9230 [4 per cell]
I 0.0741 0.1690 0.4099 [4 per cell]
I 0.2176 0.3809 0.2428 [4 per cell]
I 0.2331 0.0740 0.7593 [4 per cell]
I 0.3697 0.1455 0.0728 [4 per cell]
I 0.3925 0.3939 0.5914 [4 per cell]

Magnetization (μB/cell): 0.0
Density of states at the Fermi level (states/eV/f.u.): 0.0
Raw formation energy (eV/atom): -0.903

---

The following is a DFT calculation (PBE-GGA) of an optimized crystal structure of ZrI4.

a b c (Å): 5.7407 5.7407 5.7407
angles (deg): 90.00 90.00 90.00
Space group Pm-3m (No. 221)
Inequivalent atoms, fractional coordinates:
Zr 0.0000 0.0000 0.0000 [1 per cell]
I 0.0000 0.0000 0.5000 [3 per cell]
I 0.5000 0.5000 0.5000 [1 per cell]

Magnetization (μB/cell): 0.0
Density of states at the Fermi level (states/eV/f.u.): 6.9
Raw formation energy (eV/atom): -0.421

---

The following is a DFT calculation (PBE-GGA) of an optimized crystal structure of ZrI4.

a b c (Å): 8.3454 8.4173 16.6672
angles (deg): 97.98 95.74 94.41
Space group P-1 (No. 2)
Inequivalent atoms, fractional coordinates:
Zr 0.0648 0.3737 0.1084 [2 per cell]
Zr 0.4013 0.6800 0.3083 [2 per cell]
I 0.0574 0.5319 0.2760 [2 per cell]
I 0.1019 0.3275 0.9375 [2 per cell]
I 0.2363 0.7792 0.8937 [2 per cell]
I 0.2464 0.1308 0.1411 [2 per cell]
I 0.2912 0.8646 0.4364 [2 per cell]
I 0.3394 0.1089 0.7048 [2 per cell]
I 0.3650 0.6126 0.1307 [2 per cell]
I 0.4629 0.5681 0.6351 [2 per cell]

Magnetization (μB/cell): 0.0
Density of states at the Fermi level (states/eV/f.u.): 0.0
Raw formation energy (eV/atom): -0.883

---

The following is a DFT calculation (PBE-GGA) of an optimized crystal structure of In5Ir.

a b c (Å): 4.7272 3.3865 17.6678
angles (deg): 90.00 90.00 90.00
Space group Amm2 (No. 38)
Inequivalent atoms, fractional coordinates:
In 0.0000 0.0000 0.0000 [2 per cell]
In 0.0000 0.0000 0.2821 [2 per cell]
In 0.5000 0.0000 0.1046 [2 per cell]
In 0.5000 0.0000 0.4137 [2 per cell]
In 0.5000 0.0000 0.7480 [2 per cell]
Ir 0.0000 0.0000 0.6435 [2 per cell]

Energy above the most stable polymorph in this dataset (eV per atom): 0.235
Magnetization (μB/cell): 0.0
Density of states at the Fermi level (states/eV/f.u.): 3.4
Calculated formation energy (kJ per mole of atoms): 14.34

---

The following is a DFT calculation (PBE-GGA) of an optimized crystal structure of In3Ir2.

a b c (Å): 9.3825 13.9143 5.6998
angles (deg): 90.00 90.00 90.00
Space group Fdd2 (No. 43)
Inequivalent atoms, fractional coordinates:
In 0.0000 0.0000 0.0000 [8 per cell]
In 0.0543 0.1021 0.5228 [16 per cell]
Ir 0.0160 0.2016 0.9434 [16 per cell]

Magnetization (μB/cell): 0.0
Density of states at the Fermi level (states/eV/f.u.): 1.6
Calculated formation energy (kJ per mole of atoms): 4.39

---

The following is a DFT calculation (PBE-GGA) of an optimized crystal structure of In5Ir.

a b c (Å): 5.5992 5.5992 4.9783
angles (deg): 90.00 90.00 120.00
Space group P-62m (No. 189)
Inequivalent atoms, fractional coordinates:
In 0.0000 0.6921 0.0000 [3 per cell]
In 0.3333 0.6667 0.5000 [2 per cell]
Ir 0.0000 0.0000 0.5000 [1 per cell]

Energy above the most stable polymorph in this dataset (eV per atom): 0.248
Magnetization (μB/cell): 0.0
Density of states at the Fermi level (states/eV/f.u.): 4.8
Calculated formation energy (kJ per mole of atoms): 15.53

---

The following is a DFT calculation (PBE-GGA) of an optimized crystal structure of In4Ir3.

a b c (Å): 3.5609 3.5609 20.5496
angles (deg): 90.00 90.00 90.00
Space group I4/mmm (No. 139)
Inequivalent atoms, fractional coordinates:
In 0.0000 0.0000 0.0693 [4 per cell]
In 0.0000 0.0000 0.3455 [4 per cell]
Ir 0.0000 0.0000 0.2073 [4 per cell]
Ir 0.0000 0.0000 0.5000 [2 per cell]

Magnetization (μB/cell): 0.0
Density of states at the Fermi level (states/eV/f.u.): 5.7
Calculated formation energy (kJ per mole of atoms): 16.45